PBE CaCuP, relaxed; energy relative to the elements = -0.64 eV per atom; volume = 257.0 Å³/cell
1.0
5.773 0.000 0.000
0.000 4.185 0.000
0.000 0.000 10.636
P Cu Ca
4 4 4
Direct
0.250 0.750 0.895
0.750 0.250 0.105
0.750 0.750 0.605
0.250 0.250 0.395
0.255 0.750 0.331
0.755 0.750 0.169
0.245 0.250 0.831
0.745 0.250 0.669
0.750 0.750 0.891
0.250 0.250 0.109
0.250 0.750 0.609
0.750 0.250 0.391